Entry from Alexandria: Li2PtRh after structural relaxation (PBE).

Cell and atoms, written as POSCAR:
```
Li2PtRh
1.0
2.610 0.000 0.000
0.000 3.976 0.000
0.000 0.000 5.373
Li Pt Rh
2 1 1
Cartesian
0.000 0.000 1.332
0.000 0.000 4.041
1.305 1.988 0.000
1.305 1.988 2.687
```

Results
polymorph energy (0 for the lowest one): 145 meV/atom
total moment: 0.00 μB/f.u.
uncorrected energy: -18.30 eV per cell
SG: Pmmm
calculated formation energy: -0.269 eV/atom

---

Entry from Alexandria: LiPt2Rh after structural relaxation (PBE).

Cell and atoms, written as POSCAR:
```
LiPt2Rh
1.0
2.737 0.000 0.000
-1.368 2.370 0.000
0.000 0.000 26.985
Li Pt Rh
3 6 3
Cartesian
0.000 0.000 0.000
0.000 1.580 17.990
1.368 0.790 8.995
0.000 0.000 6.820
0.000 0.000 20.165
0.000 1.580 11.170
0.000 1.580 24.811
1.368 0.790 2.175
1.368 0.790 15.816
0.000 0.000 13.493
0.000 1.580 4.498
1.368 0.790 22.488
```

Results
polymorph energy (0 for the lowest one): 125 meV/atom
total moment: 0.75 μB/f.u.
uncorrected energy: -67.22 eV per cell
SG: R-3m
calculated formation energy: -0.265 eV/atom

---

Entry from Alexandria: LiPt6Rh after structural relaxation (PBE).

Cell and atoms, written as POSCAR:
```
LiPt6Rh
1.0
5.546 0.000 0.000
0.000 5.546 0.000
0.000 0.000 3.910
Li Pt Rh
1 6 1
Cartesian
0.000 0.000 0.000
0.000 2.773 0.000
1.377 1.377 1.955
1.377 4.169 1.955
2.773 0.000 0.000
4.169 1.377 1.955
4.169 4.169 1.955
2.773 2.773 0.000
```

Results
total moment: 2.00 μB/f.u.
uncorrected energy: -47.07 eV per cell
SG: P4/mmm
calculated formation energy: -0.195 eV/atom

---

Entry from Alexandria: LiPt2Rh after structural relaxation (PBE).

Cell and atoms, written as POSCAR:
```
LiPt2Rh
1.0
9.094 0.000 0.000
0.000 2.733 0.000
-0.737 0.000 4.674
Li Pt Rh
2 4 2
Cartesian
0.000 0.000 0.000
4.547 1.367 0.000
1.695 0.000 3.500
2.116 1.367 1.174
6.242 1.367 3.500
6.663 0.000 1.174
-0.368 1.367 2.337
4.179 0.000 2.337
```

Results
polymorph energy (0 for the lowest one): 135 meV/atom
total moment: 0.00 μB/f.u.
uncorrected energy: -44.74 eV per cell
SG: C2/m
calculated formation energy: -0.256 eV/atom

---

Entry from Alexandria: Li2PtRh2 after structural relaxation (PBE).

Cell and atoms, written as POSCAR:
```
Li2PtRh2
1.0
3.847 0.000 0.000
0.000 3.847 0.000
0.000 0.000 8.878
Li Pt Rh
4 2 4
Cartesian
0.000 0.000 0.881
0.000 0.000 7.997
1.923 1.923 3.558
1.923 1.923 5.320
0.000 0.000 4.439
1.923 1.923 0.000
0.000 1.923 2.220
0.000 1.923 6.659
1.923 0.000 2.220
1.923 0.000 6.659
```

Results
polymorph energy (0 for the lowest one): 236 meV/atom
total moment: 0.00 μB/f.u.
uncorrected energy: -47.28 eV per cell
SG: I4/mmm
calculated formation energy: 0.186 eV/atom

---

Entry from Alexandria: LiPt2Rh after structural relaxation (PBE).

Cell and atoms, written as POSCAR:
```
LiPt2Rh
1.0
6.156 0.000 0.000
0.000 6.156 0.000
0.000 0.000 6.156
Li Pt Rh
4 8 4
Cartesian
0.000 0.000 0.000
0.000 3.078 3.078
3.078 0.000 3.078
3.078 3.078 0.000
1.539 1.539 1.539
1.539 1.539 4.617
1.539 4.617 1.539
1.539 4.617 4.617
4.617 1.539 1.539
4.617 1.539 4.617
4.617 4.617 1.539
4.617 4.617 4.617
0.000 0.000 3.078
0.000 3.078 0.000
3.078 0.000 0.000
3.078 3.078 3.078
```

Results
polymorph energy (0 for the lowest one): 289 meV/atom
total moment: 0.00 μB/f.u.
uncorrected energy: -87.02 eV per cell
SG: Fm-3m
calculated formation energy: -0.102 eV/atom

---

Entry from Alexandria: LiPt2Rh after structural relaxation (PBE).

Cell and atoms, written as POSCAR:
```
LiPt2Rh
1.0
2.741 0.000 0.000
0.000 4.666 0.000
0.000 0.000 9.301
Li Pt Rh
2 4 2
Cartesian
0.000 0.000 0.000
1.370 2.333 0.000
0.000 0.000 4.713
0.000 2.333 2.180
1.370 0.000 2.180
1.370 2.333 4.713
0.000 2.333 7.078
1.370 0.000 7.078
```

Results
polymorph energy (0 for the lowest one): 302 meV/atom
total moment: 0.52 μB/f.u.
uncorrected energy: -43.40 eV per cell
SG: Cmm2
calculated formation energy: -0.088 eV/atom

---

Entry from Alexandria: LiPt2Rh after structural relaxation (PBE).

Cell and atoms, written as POSCAR:
```
LiPt2Rh
1.0
3.853 0.000 0.000
0.000 3.853 0.000
0.000 0.000 7.701
Li Pt Rh
2 4 2
Cartesian
0.000 0.000 0.000
1.927 1.927 3.850
0.000 1.927 1.925
0.000 1.927 5.776
1.927 0.000 1.925
1.927 0.000 5.776
0.000 0.000 3.850
1.927 1.927 0.000
```

Results
polymorph energy (0 for the lowest one): 104 meV/atom
total moment: 0.00 μB/f.u.
uncorrected energy: -44.99 eV per cell
SG: I4/mmm
calculated formation energy: -0.287 eV/atom

---

Entry from Alexandria: Li3PtRh after structural relaxation (PBE).

Cell and atoms, written as POSCAR:
```
Li3PtRh
1.0
-2.071 4.298 4.456
2.071 -4.298 4.456
2.071 4.298 -4.456
Li Pt Rh
6 2 2
Cartesian
0.000 0.080 1.504
2.071 -2.149 4.323
2.071 0.080 2.952
0.000 4.218 1.504
0.000 6.447 0.133
2.071 4.218 2.952
2.071 0.000 0.000
0.000 0.000 4.456
2.071 2.149 1.504
0.000 2.149 2.952
```

Results
polymorph energy (0 for the lowest one): 0 meV/atom
total moment: 0.00 μB/f.u.
uncorrected energy: -40.55 eV per cell
SG: Imma
calculated formation energy: -0.228 eV/atom

---

Entry from Alexandria: LiPt2Rh2 after structural relaxation (PBE).

Cell and atoms, written as POSCAR:
```
LiPt2Rh2
1.0
7.722 0.000 0.000
0.000 7.722 0.000
0.000 0.000 2.726
Li Pt Rh
2 4 4
Cartesian
0.000 0.000 0.000
3.861 3.861 0.000
1.396 2.465 1.363
2.465 6.326 1.363
5.257 1.396 1.363
6.326 5.257 1.363
0.917 4.778 0.000
2.944 0.917 0.000
4.778 6.805 0.000
6.805 2.944 0.000
```

Results
polymorph energy (0 for the lowest one): 0 meV/atom
total moment: 0.00 μB/f.u.
uncorrected energy: -57.99 eV per cell
SG: P4/mbm
calculated formation energy: -0.060 eV/atom

---

Entry from Alexandria: Li6PtRh2 after structural relaxation (PBE).

Cell and atoms, written as POSCAR:
```
Li6PtRh2
1.0
6.419 -3.705 0.000
6.419 3.705 0.000
-0.004 0.000 2.563
Li Pt Rh
6 1 2
Cartesian
4.280 1.233 2.551
6.419 2.466 0.000
4.280 -1.233 2.551
8.555 1.233 0.012
6.419 -2.466 0.000
8.555 -1.233 0.012
6.417 0.000 1.282
2.139 0.000 1.282
10.696 0.000 1.281
```

Results
polymorph energy (0 for the lowest one): 0 meV/atom
total moment: 0.00 μB/f.u.
uncorrected energy: -34.72 eV per cell
SG: C2/m
calculated formation energy: -0.277 eV/atom

---

Entry from Alexandria: Li2PtRh after structural relaxation (PBE).

Cell and atoms, written as POSCAR:
```
Li2PtRh
1.0
5.877 0.000 0.000
0.000 5.877 0.000
0.000 0.000 5.877
Li Pt Rh
8 4 4
Cartesian
1.469 1.469 1.469
1.469 1.469 4.408
1.469 4.408 1.469
1.469 4.408 4.408
4.408 1.469 1.469
4.408 1.469 4.408
4.408 4.408 1.469
4.408 4.408 4.408
0.000 0.000 0.000
0.000 2.939 2.939
2.939 0.000 2.939
2.939 2.939 0.000
0.000 0.000 2.939
0.000 2.939 0.000
2.939 0.000 0.000
2.939 2.939 2.939
```

Results
polymorph energy (0 for the lowest one): 175 meV/atom
total moment: 0.00 μB/f.u.
uncorrected energy: -72.72 eV per cell
SG: Fm-3m
calculated formation energy: -0.240 eV/atom